No. 1
Dy3MgNp3N8 | GGA-PBE | relaxed

Cell lengths 6.8132, 6.8132, 6.8132 Å; angles 59.16, 59.16, 59.16 degrees
Last column: nearest neighbours and their distance in Å.
Positions (direct):
Dy (0.0000, 0.5000, 0.5000)  6 N 2.39-2.51
Dy (0.5000, 0.0000, 0.5000)  6 N 2.39-2.51
Dy (0.5000, 0.5000, 0.0000)  6 N 2.39-2.51
Mg (0.5000, 0.5000, 0.5000)  6 N 2.28
Np (0.0000, 0.0000, 0.5000)  6 N 2.29-2.40
Np (0.0000, 0.5000, 0.0000)  6 N 2.29-2.40
Np (0.5000, 0.0000, 0.0000)  6 N 2.29-2.40
N (0.2393, 0.7376, 0.7376)  1 Mg 2.28, 2 Np 2.29, 2 Dy 2.51
N (0.2508, 0.2508, 0.2508)  3 Dy 2.39, 3 Np 2.40
N (0.2624, 0.2624, 0.7607)  1 Mg 2.28, 2 Np 2.29, 2 Dy 2.51
N (0.2624, 0.7607, 0.2624)  1 Mg 2.28, 2 Np 2.29, 2 Dy 2.51
N (0.7376, 0.2393, 0.7376)  1 Mg 2.28, 2 Np 2.29, 2 Dy 2.51
N (0.7376, 0.7376, 0.2393)  1 Mg 2.28, 2 Np 2.29, 2 Dy 2.51
N (0.7492, 0.7492, 0.7492)  3 Dy 2.39, 3 Np 2.40
N (0.7607, 0.2624, 0.2624)  1 Mg 2.28, 2 Np 2.29, 2 Dy 2.51

Output
Raw formation energy in eV/atom: -1.13
Volume in Å³/cell: 219.3
Calculated total energy in eV per atom: -9.1900


No. 2
Hf2NbRu3 | GGA-PBE | relaxed

Cell lengths 3.2172, 3.2172, 9.6759 Å; angles 90.00, 90.00, 90.00 degrees
Last column: nearest neighbours and their distance in Å.
Positions (direct):
Hf (0.0000, 0.0000, 0.1684)  8 Ru 2.79-2.80
Hf (0.0000, 0.0000, 0.8316)  8 Ru 2.79-2.80
Nb (0.0000, 0.0000, 0.5000)  8 Ru 2.78
Ru (0.5000, 0.5000, 0.0000)  8 Hf 2.80
Ru (0.5000, 0.5000, 0.3357)  4 Nb 2.78, 4 Hf 2.79
Ru (0.5000, 0.5000, 0.6643)  4 Nb 2.78, 4 Hf 2.79

Output
DFT formation energy in meV per atom: -605
Volume in Å³/cell: 100.1
Calculated total energy in eV per atom: -10.2391


No. 3
CaTaAsRh2 | GGA-PBE | relaxed

Cell lengths 4.5651, 4.5651, 5.0809 Å; angles 90.00, 90.00, 90.00 degrees
Last column: nearest neighbours and their distance in Å.
Positions (direct):
Ca (0.0000, 0.0000, 0.0000)  2 As 2.54
Ta (0.5000, 0.5000, 0.0000)  4 Ca 3.23, 8 Rh 3.42
As (0.0000, 0.0000, 0.5000)  4 Rh 2.28, 2 Ca 2.54
Rh (0.0000, 0.5000, 0.5000)  2 As 2.28
Rh (0.5000, 0.0000, 0.5000)  2 As 2.28

Output
Energy above the lowest structure with this stoichiometry in eV per atom: 0.000
DFT formation energy in meV per atom: 719
Volume in Å³/cell: 105.9
Calculated total energy in eV per atom: -5.9223